The following is a PBE+U calculation of ZrNiO3 after structural relaxation, from Alexandria.

Structure (POSCAR):
```
ZrNiO3
1.0
5.198 -0.027 -2.349
-1.136 4.501 -2.565
-0.316 -0.189 5.291
Zr Ni O
2 2 6
Direct
0.032 0.011 0.521
0.532 0.511 0.521
0.912 0.304 0.107
0.412 0.804 0.107
0.714 0.600 0.007
0.714 0.907 0.614
0.714 0.207 0.307
0.214 0.100 0.307
0.214 0.407 0.007
0.214 0.707 0.614
```

Calculated values
uncorrected energy: -7.5831 eV/atom
M_tot: 4.00 μB per cell
DOS(E_F): 0.0 states/eV/cell
crystal system: trigonal
calculated volume: 58.6 Å³/f.u.
space group: No. 161